1.
Material: CsGaTc
Method: DFT, PBE-GGA
State: optimized geometry

The value obtained for the total energy is -2.741 eV per atom.

It has space group F-43m (No. 216), with a = 7.677 Å, b = 7.677 Å, c = 7.677 Å, α = 90.00°, β = 90.00° and γ = 90.00°. Symmetry generates all atoms from Cs at (0.000, 0.000, 0.000), Ga at (0.250, 0.250, 0.750) and Tc at (0.250, 0.250, 0.250).

2.
Material: CsTmRe
Method: DFT, PBE-GGA
State: optimized geometry

The value obtained for the total energy is -3.898 eV per atom.

It has space group F-43m (No. 216), with a = 7.178 Å, b = 7.178 Å, c = 7.178 Å, α = 90.00°, β = 90.00° and γ = 90.00°. Symmetry generates all atoms from Cs at (0.000, 0.000, 0.000), Tm at (0.250, 0.250, 0.250) and Re at (0.000, 0.000, 0.500).

3.
Material: TaSbPO
Method: DFT, PBE-GGA
State: optimized geometry

The value obtained for the total energy is -7.062 eV per atom.

It has space group P4/nmm (No. 129, origin choice 2), with a = 3.915 Å, b = 3.915 Å, c = 9.007 Å, α = 90.00°, β = 90.00° and γ = 90.00°. Symmetry generates all atoms from Ta at (0.250, 0.750, 0.000), Sb at (0.250, 0.250, 0.368), P at (0.250, 0.250, 0.815) and O at (0.250, 0.750, 0.500).

4.
Material: GdTmAg2Sn2
Method: DFT, PBE-GGA
State: optimized geometry

The value obtained for the total energy is -4.383 eV per atom.

It has space group P3m1 (No. 156), with a = 4.7300 Å, b = 4.7300 Å, c = 7.3161 Å, α = 90.00°, β = 90.00° and γ = 120.00°. Symmetry generates all atoms from Gd at (0.0000, 0.0000, 0.0000), Tm at (0.0000, 0.0000, 0.5010), Ag at (0.3333, 0.6667, 0.1949), Ag at (0.6667, 0.3333, 0.6857), Sn at (0.3333, 0.6667, 0.7764) and Sn at (0.6667, 0.3333, 0.2818).

5.
Material: TmZnNi
Method: DFT, PBE-GGA
State: optimized geometry

The value obtained for the total energy is -3.504 eV per atom. As for the formation energy: 0.265 eV/atom.

It has space group F-43m (No. 216), with a = 6.355 Å, b = 6.355 Å, c = 6.355 Å, α = 90.00°, β = 90.00° and γ = 90.00°. Symmetry generates all atoms from Tm at (0.000, 0.000, 0.000), Zn at (0.250, 0.250, 0.250) and Ni at (0.250, 0.250, 0.750).

6.
Material: Li2TcNiH6
Method: DFT, PBE-GGA
State: optimized geometry

The value obtained for the total energy is -4.140 eV per atom.

It has space group P2_1 (No. 4), with a = 5.413 Å, b = 4.890 Å, c = 5.784 Å, α = 90.00°, β = 114.11° and γ = 90.00°. Symmetry generates all atoms from Li at (0.056, 0.000, 0.120), Li at (0.422, 0.499, 0.891), Tc at (0.117, 0.001, 0.649), Ni at (0.498, 0.253, 0.500), H at (0.159, 0.259, 0.419), H at (0.163, 0.741, 0.427), H at (0.207, 0.209, 0.911), H at (0.210, 0.793, 0.911), H at (0.418, 0.003, 0.308) and H at (0.472, 0.006, 0.724).

7.
Material: SmYTe
Method: DFT, PBE-GGA
State: optimized geometry

The value obtained for the total energy is -5.352 eV per atom.

It has space group F-43m (No. 216), with a = 7.232 Å, b = 7.232 Å, c = 7.232 Å, α = 90.00°, β = 90.00° and γ = 90.00°. Symmetry generates all atoms from Sm at (0.000, 0.000, 0.000), Y at (0.000, 0.000, 0.500) and Te at (0.250, 0.250, 0.250).

8.
Material: PuSnSb
Method: DFT, PBE-GGA
State: optimized geometry

The value obtained for the total energy is -7.573 eV per atom.

It has space group F-43m (No. 216), with a = 7.265 Å, b = 7.265 Å, c = 7.265 Å, α = 90.00°, β = 90.00° and γ = 90.00°. Symmetry generates all atoms from Pu at (0.000, 0.000, 0.000), Sn at (0.250, 0.250, 0.250) and Sb at (0.250, 0.250, 0.750).

9.
Material: LuGaCuRe
Method: DFT, PBE-GGA
State: optimized geometry

The value obtained for the total energy is -4.824 eV per atom.

It has space group F-43m (No. 216), with a = 7.517 Å, b = 7.517 Å, c = 7.517 Å, α = 90.00°, β = 90.00° and γ = 90.00°. Symmetry generates all atoms from Lu at (0.000, 0.000, 0.000), Ga at (0.000, 0.000, 0.500), Cu at (0.250, 0.250, 0.750) and Re at (0.250, 0.250, 0.250).

10.
Material: ZnTe
Method: DFT, PBE-GGA
State: optimized geometry

The value obtained for the total energy is -2.230 eV per atom.

It has space group P-6m2 (No. 187), with a = 3.9896 Å, b = 3.9896 Å, c = 3.5793 Å, α = 90.00°, β = 90.00° and γ = 120.00°. Symmetry generates all atoms from Zn at (0.0000, 0.0000, 0.0000) and Te at (0.3333, 0.6667, 0.5000).

11.
Material: BaZn2SiSn
Method: DFT, PBE-GGA
State: optimized geometry

The value obtained for the total energy is -3.090 eV per atom.

It has space group I4mm (No. 107), with a = 4.642 Å, b = 4.642 Å, c = 10.881 Å, α = 90.00°, β = 90.00° and γ = 90.00°. Symmetry generates all atoms from Ba at (0.000, 0.000, 0.000), Zn at (0.000, 0.500, 0.237), Si at (0.000, 0.000, 0.626) and Sn at (0.000, 0.000, 0.376).

12.
Material: PtS2
Method: DFT, PBE-GGA
State: optimized geometry

The value obtained for the total energy is -4.587 eV per atom.

It has space group P6_3mc (No. 186), with a = 3.5196 Å, b = 3.5196 Å, c = 19.8678 Å, α = 90.00°, β = 90.00° and γ = 120.00°. Symmetry generates all atoms from Pt at (0.3333, 0.6667, 0.0000), Pt at (0.3333, 0.6667, 0.2441), S at (0.0000, 0.0000, 0.0692), S at (0.0000, 0.0000, 0.4286), S at (0.3333, 0.6667, 0.6728) and S at (0.3333, 0.6667, 0.8131).

Number 10 is which compound?
ZnTe